{
  "formula": "HoNi4Au",
  "functional": "GGA-PBEsol",
  "state": "optimized geometry",
  "cell": [[0.0000, 3.4203, 3.4203], [3.4203, 0.0000, 3.4203], [3.4203, 3.4203, 0.0000]],
  "species": ["Ho", "Ni", "Ni", "Ni", "Ni", "Au"],
  "fractional_positions": [[0.0000, 0.0000, 0.0000], [0.1269, 0.6244, 0.6244], [0.6244, 0.1269, 0.6244], [0.6244, 0.6244, 0.1269], [0.6244, 0.6244, 0.6244], [0.2500, 0.2500, 0.2500]],
  "total_magnetization_mub_per_cell": 0.0,
  "formation_enthalpy_0k_mev_per_atom": -413
}

=====

{
  "formula": "HoPbAu",
  "functional": "GGA-PBEsol",
  "state": "optimized geometry",
  "cell": [[0.0000, 3.3476, 3.3476], [3.3476, 0.0000, 3.3476], [3.3476, 3.3476, 0.0000]],
  "species": ["Ho", "Pb", "Au"],
  "fractional_positions": [[0.0000, 0.0000, 0.0000], [0.5000, 0.5000, 0.5000], [0.2500, 0.2500, 0.2500]],
  "total_magnetization_mub_per_cell": 0.0,
  "formation_enthalpy_0k_mev_per_atom": -708
}

=====

{
  "formula": "Ho2RuAu",
  "functional": "GGA-PBEsol",
  "state": "optimized geometry",
  "cell": [[0.0000, 3.4215, 3.4215], [3.4215, 0.0000, 3.4215], [3.4215, 3.4215, 0.0000]],
  "species": ["Ho", "Ho", "Ru", "Au"],
  "fractional_positions": [[0.2500, 0.2500, 0.2500], [0.7500, 0.7500, 0.7500], [0.0000, 0.0000, 0.0000], [0.5000, 0.5000, 0.5000]],
  "total_magnetization_mub_per_cell": 0.0,
  "formation_enthalpy_0k_mev_per_atom": -583
}

=====

{
  "formula": "Ho3Sb4Au3",
  "functional": "GGA-PBEsol",
  "state": "optimized geometry",
  "cell": [[-4.8763, 4.8763, 4.8763], [4.8763, -4.8763, 4.8763], [4.8763, 4.8763, -4.8763]],
  "species": ["Ho", "Ho", "Ho", "Ho", "Ho", "Ho", "Sb", "Sb", "Sb", "Sb", "Sb", "Sb", "Sb", "Sb", "Au", "Au", "Au", "Au", "Au", "Au"],
  "fractional_positions": [[0.1250, 0.8750, 0.2500], [0.2500, 0.1250, 0.8750], [0.3750, 0.6250, 0.7500], [0.6250, 0.7500, 0.3750], [0.7500, 0.3750, 0.6250], [0.8750, 0.2500, 0.1250], [0.0000, 0.1799, 0.5000], [0.0000, 0.6799, 0.5000], [0.1799, 0.5000, 0.0000], [0.3201, 0.3201, 0.3201], [0.5000, 0.0000, 0.1799], [0.5000, 0.0000, 0.6799], [0.6799, 0.5000, 0.0000], [0.8201, 0.8201, 0.8201], [0.1250, 0.7500, 0.8750], [0.2500, 0.6250, 0.3750], [0.3750, 0.2500, 0.6250], [0.6250, 0.3750, 0.2500], [0.7500, 0.8750, 0.1250], [0.8750, 0.1250, 0.7500]],
  "total_magnetization_mub_per_cell": 0.0,
  "e_form_raw_mev_per_atom": -857
}

=====

{
  "formula": "Ho5SbAu2",
  "functional": "GGA-PBEsol",
  "state": "optimized geometry",
  "cell": [[-3.9549, 3.9549, 6.3815], [3.9549, -3.9549, 6.3815], [3.9549, 3.9549, -6.3815]],
  "species": ["Ho", "Ho", "Ho", "Ho", "Ho", "Ho", "Ho", "Ho", "Ho", "Ho", "Sb", "Sb", "Au", "Au", "Au", "Au"],
  "fractional_positions": [[0.0000, 0.0000, 0.0000], [0.0132, 0.5132, 0.8123], [0.2009, 0.0132, 0.5000], [0.2991, 0.7991, 0.8123], [0.4868, 0.2991, 0.5000], [0.5000, 0.5000, 0.0000], [0.5132, 0.7009, 0.5000], [0.7009, 0.2009, 0.1877], [0.7991, 0.9868, 0.5000], [0.9868, 0.4868, 0.1877], [0.2500, 0.2500, 0.0000], [0.7500, 0.7500, 0.0000], [0.1361, 0.3639, 0.5000], [0.3639, 0.8639, 0.2279], [0.6361, 0.1361, 0.7721], [0.8639, 0.6361, 0.5000]],
  "total_magnetization_mub_per_cell": 0.0,
  "e_form_raw_mev_per_atom": -789
}

=====

{
  "formula": "HoSnAu",
  "functional": "GGA-PBEsol",
  "state": "optimized geometry",
  "cell": [[0.0000, 3.2993, 3.2993], [3.2993, 0.0000, 3.2993], [3.2993, 3.2993, 0.0000]],
  "species": ["Ho", "Sn", "Au"],
  "fractional_positions": [[0.0000, 0.0000, 0.0000], [0.5000, 0.5000, 0.5000], [0.2500, 0.2500, 0.2500]],
  "total_magnetization_mub_per_cell": 0.0,
  "formation_enthalpy_0k_mev_per_atom": -901
}